In2PtPb | GGA-PBEsol | optimized geometry

Cell: 3.0559 5.4526 6.3024 Å, 115.63 104.03 90.00°
Positions (direct):
In 0.7108 0.7108 0.4215
In 0.2892 0.2892 0.5785
Pb 0.5000 0.0000 0.0000
Pt 0.0000 0.5000 0.0000

Properties
energy	-4.29	eV per atom
calculated formation energy	-0.059	eV/atom
space group	Immm (71)
Fermi-level density of states	0.486	states/eV per atom